## w
VASP calculation (GGA-PBE) on Ti2Ga3Cu after structural relaxation.

Geometry as extended XYZ:
```
12
Lattice="5.402 0.008 0.000 0.008 5.538 0.003 -2.703 -1.379 6.286" Properties=species:S:1:pos:R:3 pbc="T T T"
Ti 2.717 2.782 2.193
Ti 2.690 0.013 2.190
Ti 0.018 4.154 4.098
Ti -0.010 1.385 4.095
Ga 3.779 1.391 0.001
Ga -1.072 2.776 6.287
Ga -0.013 -0.002 1.742
Ga 2.689 1.399 4.544
Ga 0.018 2.768 1.744
Ga 2.720 4.169 4.546
Cu 4.061 4.160 0.003
Cu -1.354 0.007 6.285
```

Computed properties:
Density of states at the Fermi level in states/eV/atom: 0.8279
Total moment in μB per atom: 0.0000
SG: P-1 (2)
Density in Mg/m³: 6.506

---

## x
VASP calculation (GGA-PBE) on Ti2Ga3Cu after structural relaxation.

Geometry as extended XYZ:
```
12
Lattice="-3.117 -1.827 -3.677 4.033 2.402 -2.129 3.283 -6.599 2.869" Properties=species:S:1:pos:R:3 pbc="T T T"
Ti 3.887 -1.955 -1.082
Ti 0.691 0.433 -4.376
Ti 0.312 -4.069 -1.856
Ti 0.226 0.142 -1.430
Ga 2.841 0.244 -2.531
Ga 4.848 -4.204 0.349
Ga 1.358 -6.268 -0.406
Ga -0.649 -1.820 -3.287
Ga 1.278 -2.156 -0.012
Ga 2.921 -3.868 -2.926
Cu 1.703 -1.813 -2.915
Cu 2.496 -4.212 -0.023
```

Computed properties:
Density of states at the Fermi level in states/eV/atom: 0.4515
Total moment in μB per atom: 0.0000
SG: Fmmm (69)
Density in Mg/m³: 6.684

---

Short version: x is the most stable of them.

---

## w
VASP calculation (GGA-PBE) on Ti4Ga3Cu after structural relaxation.

Geometry as extended XYZ:
```
8
Lattice="3.076 0.000 0.000 0.000 4.001 0.000 0.000 0.000 10.327" Properties=species:S:1:pos:R:3 pbc="T T T"
Ti 1.538 2.001 3.378
Ti 0.000 2.001 8.632
Ti 0.000 0.000 1.696
Ti 1.538 0.000 6.917
Ga 0.000 2.001 5.951
Ga 0.000 0.000 4.372
Ga 1.538 0.000 9.616
Cu 1.538 2.001 0.747
```

Computed properties:
Density of states at the Fermi level in states/eV/atom: 0.9312
Total moment in μB per atom: 0.0000
SG: Pmm2 (25)
Density in Mg/m³: 6.064

---

## x
VASP calculation (GGA-PBE) on Ti4Ga3Cu after structural relaxation.

Geometry as extended XYZ:
```
8
Lattice="2.811 0.000 0.000 0.000 2.811 0.000 0.000 0.000 15.583" Properties=species:S:1:pos:R:3 pbc="T T T"
Cu 1.406 1.406 0.000
Ga 1.406 1.406 3.809
Ga 1.406 1.406 7.792
Ga 1.406 1.406 11.774
Ti 0.000 0.000 13.732
Ti 0.000 0.000 1.851
Ti 0.000 0.000 5.786
Ti 0.000 0.000 9.797
```

Computed properties:
Density of states at the Fermi level in states/eV/atom: 0.9638
Total moment in μB per atom: 0.0000
SG: P4/mmm (123)
Density in Mg/m³: 6.259

---

Short version: x is the most stable of them.

---

## w
VASP calculation (GGA-PBE) on TiZnGaCu after structural relaxation.

Geometry as extended XYZ:
```
4
Lattice="3.718 0.000 0.000 0.000 3.894 0.000 0.000 0.000 4.040" Properties=species:S:1:pos:R:3 pbc="T T T"
Ti 1.859 1.947 0.000
Zn 0.000 1.947 2.020
Ga 0.000 0.000 0.000
Cu 1.859 0.000 2.020
```

Computed properties:
Density of states at the Fermi level in states/eV/atom: 0.7087
Total moment in μB per atom: 0.0000
SG: Pmmm (47)
Density in Mg/m³: 7.000

---

## x
VASP calculation (GGA-PBE) on TiZnGaCu after structural relaxation.

Geometry as extended XYZ:
```
4
Lattice="-1.652 3.632 -1.724 -3.009 2.263 2.172 1.003 3.868 1.709" Properties=species:S:1:pos:R:3 pbc="T T T"
Zn -0.914 2.441 0.539
Cu -1.829 4.881 1.079
Ga -2.743 7.322 1.618
Ti 0.000 0.000 0.000
```

Computed properties:
Density of states at the Fermi level in states/eV/atom: 0.5038
Total moment in μB per atom: 0.0000
SG: F-43m (216)
Density in Mg/m³: 7.051

---

Short version: w is the most stable of them.

---

## w
VASP calculation (GGA-PBE) on Tl3GaCu after structural relaxation.

Geometry as extended XYZ:
```
5
Lattice="-1.332 5.037 -0.471 -3.839 -0.689 3.487 3.295 1.233 3.872" Properties=species:S:1:pos:R:3 pbc="T T T"
Tl -1.919 -0.345 1.743
Tl 1.648 0.617 1.936
Tl -0.666 2.519 -0.235
Cu 0.000 0.000 0.000
Ga -0.938 2.791 3.444
```

Computed properties:
Density of states at the Fermi level in states/eV/atom: 0.3919
Total moment in μB per atom: 0.0000
SG: Pm-3m (221)
Density in Mg/m³: 8.656

---

## x
VASP calculation (GGA-PBE) on Tl3GaCu after structural relaxation.

Geometry as extended XYZ:
```
5
Lattice="5.469 0.000 0.000 0.000 5.469 0.000 0.000 0.000 5.469" Properties=species:S:1:pos:R:3 pbc="T T T"
Tl 0.000 2.735 0.000
Tl 0.000 0.000 2.735
Tl 2.735 0.000 0.000
Cu 2.735 2.735 2.735
Ga 0.000 0.000 0.000
```

Computed properties:
Density of states at the Fermi level in states/eV/atom: 0.3087
Total moment in μB per atom: 0.0000
SG: Pm-3m (221)
Density in Mg/m³: 7.576

---

Short version: w is the most stable of them.

---

## w
VASP calculation (GGA-PBE) on TlGaCu2 after structural relaxation.

Geometry as extended XYZ:
```
4
Lattice="0.000 3.247 3.247 3.247 0.000 3.247 3.247 3.247 0.000" Properties=species:S:1:pos:R:3 pbc="T T T"
Tl 3.247 3.247 3.247
Cu 1.623 1.623 1.623
Cu 4.870 4.870 4.870
Ga 0.000 0.000 0.000
```

Computed properties:
Density of states at the Fermi level in states/eV/atom: 0.4006
Total moment in μB per atom: 0.0000
SG: Fm-3m (225)
Density in Mg/m³: 9.732

---

## x
VASP calculation (GGA-PBE) on TlGaCu2 after structural relaxation.

Geometry as extended XYZ:
```
8
Lattice="-2.062 -1.930 3.269 3.796 -1.068 1.764 0.907 5.830 6.868" Properties=species:S:1:pos:R:3 pbc="T T T"
Tl 0.000 0.000 0.000
Tl -0.144 1.201 6.327
Cu -0.357 0.334 3.615
Cu 2.111 0.333 3.594
Cu 1.756 3.129 7.236
Cu 1.772 1.869 9.357
Ga 0.867 -1.499 2.517
Ga 2.785 1.632 5.574
```

Computed properties:
Density of states at the Fermi level in states/eV/atom: 0.3717
Total moment in μB per atom: 0.0000
SG: I-42d (122)
Density in Mg/m³: 8.376

---

Short version: w is the most stable of them.

---

## w
VASP calculation (GGA-PBE) on TmGa2Cu4 after structural relaxation.

Geometry as extended XYZ:
```
14
Lattice="-1.511 -0.607 -3.698 -6.381 -1.890 2.918 -2.168 6.931 -0.251" Properties=species:S:1:pos:R:3 pbc="T T T"
Tm -0.756 -0.303 -1.849
Tm -4.274 2.520 1.333
Cu -1.394 2.273 0.197
Cu -7.155 2.767 2.470
Cu -2.979 3.566 -1.575
Cu -7.081 0.867 0.544
Cu -5.174 4.860 -0.891
Cu -4.886 -0.427 -0.141
Cu -2.476 0.008 1.010
Cu -6.073 5.032 1.656
Ga -3.056 5.071 0.417
Ga -5.493 -0.031 2.250
Ga -6.832 3.279 0.046
Ga -3.228 1.154 -1.078
```

Computed properties:
Density of states at the Fermi level in states/eV/atom: 0.4854
Total moment in μB per atom: 0.0000
SG: P4_2/mnm (136)
Density in Mg/m³: 8.756

---

## x
VASP calculation (GGA-PBE) on TmGa2Cu4 after structural relaxation.

Geometry as extended XYZ:
```
7
Lattice="-1.044 -3.965 4.046 0.880 -1.045 -5.596 5.117 2.070 1.648" Properties=species:S:1:pos:R:3 pbc="T T T"
Tm 0.000 0.000 0.000
Ga 2.957 -0.740 -2.361
Ga 1.995 -2.200 2.459
Cu 0.835 -2.931 0.508
Cu 1.269 -2.274 -1.664
Cu 3.684 -0.666 1.762
Cu 4.117 -0.008 -0.410
```

Computed properties:
Density of states at the Fermi level in states/eV/atom: 0.4875
Total moment in μB per atom: 0.0000
SG: I4/mmm (139)
Density in Mg/m³: 6.771

---

Short version: w is the most stable of them.

---

## w
VASP calculation (GGA-PBE) on Tm2Ga3Cu5 after structural relaxation.

Geometry as extended XYZ:
```
20
Lattice="5.686 0.000 0.000 2.843 7.668 -0.232 2.843 0.954 7.612" Properties=species:S:1:pos:R:3 pbc="T T T"
Tm 2.843 4.814 0.899
Tm 5.686 1.630 4.618
Tm 8.529 3.808 6.482
Tm 5.686 6.992 2.762
Ga 5.686 4.629 5.642
Ga 8.529 6.288 3.704
Ga 5.686 3.993 1.739
Ga 2.843 2.334 3.677
Ga 1.421 0.000 0.000
Ga 4.264 0.000 0.000
Cu 5.686 2.966 7.326
Cu 8.529 7.696 1.801
Cu 5.686 5.656 0.054
Cu 2.843 0.926 5.580
Cu 7.107 6.606 5.655
Cu 4.264 2.016 1.725
Cu 7.107 4.311 3.690
Cu 4.264 4.311 3.690
Cu 1.421 2.016 1.725
Cu 9.950 6.606 5.655
```

Computed properties:
Density of states at the Fermi level in states/eV/atom: 0.4839
Total moment in μB per atom: 0.0000
SG: Ibam (72)
Density in Mg/m³: 8.620

---

## x
VASP calculation (GGA-PBE) on Tm2Ga3Cu5 after structural relaxation.

Geometry as extended XYZ:
```
20
Lattice="4.206 0.000 -0.716 0.000 6.660 0.000 -0.188 0.000 11.596" Properties=species:S:1:pos:R:3 pbc="T T T"
Tm 1.850 4.557 10.860
Tm 0.674 5.111 3.954
Tm 3.344 1.781 6.926
Tm 2.167 1.228 0.020
Ga 3.161 5.527 5.856
Ga 2.546 3.204 2.245
Ga 0.187 5.907 1.099
Ga 0.856 2.198 5.024
Ga 3.830 2.577 9.781
Ga 1.471 6.533 8.635
Cu 1.510 2.695 8.867
Cu 1.158 4.127 6.799
Cu 2.859 0.797 4.081
Cu 0.466 1.188 2.735
Cu 1.060 0.117 6.223
Cu 3.798 6.625 9.593
Cu 2.957 3.447 4.656
Cu 3.551 4.517 8.144
Cu 0.219 3.295 1.287
Cu 2.507 6.025 2.013
```

Computed properties:
Density of states at the Fermi level in states/eV/atom: 0.4705
Total moment in μB per atom: 0.0000
SG: Cmc2_1 (36)
Density in Mg/m³: 8.867

---

Short version: w is the most stable of them.

---

## w
VASP calculation (GGA-PBE) on TmGa3Cu3 after structural relaxation.

Geometry as extended XYZ:
```
14
Lattice="-0.422 -1.191 -3.997 8.089 1.621 -1.338 -4.389 -7.193 2.607" Properties=species:S:1:pos:R:3 pbc="T T T"
Tm -0.970 -4.842 -1.753
Tm 4.247 -1.921 -0.976
Ga 5.241 -0.929 -3.575
Ga 2.533 -1.028 -3.259
Ga 2.311 -3.695 -2.441
Ga -1.963 -5.834 0.846
Ga 0.745 -5.735 0.531
Ga 0.966 -3.068 -0.287
Cu 2.104 -6.160 -1.685
Cu 0.191 -2.264 -2.643
Cu -3.631 -6.521 -0.971
Cu 1.174 -0.603 -1.044
Cu 3.086 -4.499 -0.085
Cu 6.908 -0.242 -1.757
```

Computed properties:
Density of states at the Fermi level in states/eV/atom: 0.3350
Total moment in μB per atom: 0.0000
SG: P2_1/m (11)
Density in Mg/m³: 8.412

---

## x
VASP calculation (GGA-PBE) on TmGa3Cu3 after structural relaxation.

Geometry as extended XYZ:
```
14
Lattice="-2.800 1.204 -5.815 3.441 -4.910 -2.674 -4.839 -4.188 1.463" Properties=species:S:1:pos:R:3 pbc="T T T"
Tm -2.099 -3.947 -3.513
Tm 0.000 0.000 0.000
Cu -3.120 -1.793 -0.722
Cu 0.511 -3.502 -0.971
Cu 1.181 -3.080 -4.913
Cu -4.520 -1.191 -3.629
Cu -1.909 -5.596 -0.240
Cu -0.540 -0.625 -3.576
Ga -1.559 -3.322 0.063
Ga 0.161 -5.777 -1.274
Ga -5.030 -2.539 -1.810
Ga -0.380 -1.552 -5.698
Ga -2.610 -0.445 -2.542
Ga 1.020 -2.154 -2.791
```

Computed properties:
Density of states at the Fermi level in states/eV/atom: 0.5370
Total moment in μB per atom: 0.0000
SG: Pm-3n (223)
Density in Mg/m³: 6.675

---

Short version: w is the most stable of them.

---

## w
VASP calculation (GGA-PBE) on Tm2Ga3Cu2 after structural relaxation.

Geometry as extended XYZ:
```
7
Lattice="-1.638 2.847 2.550 0.914 -4.784 2.538 5.420 3.644 -0.588" Properties=species:S:1:pos:R:3 pbc="T T T"
Tm 0.446 -0.130 3.822
Tm 4.250 1.837 0.679
Ga -0.819 1.423 1.275
Ga 1.574 2.291 1.843
Ga 3.122 -0.584 2.658
Cu 3.393 1.818 3.540
Cu 1.302 -0.111 0.961
```

Computed properties:
Density of states at the Fermi level in states/eV/atom: 0.4204
Total moment in μB per atom: 0.0000
SG: C2/m (12)
Density in Mg/m³: 8.895

---

## x
VASP calculation (GGA-PBE) on Tm2Ga3Cu2 after structural relaxation.

Geometry as extended XYZ:
```
14
Lattice="-2.333 3.265 1.116 -4.009 -4.147 3.752 6.461 -0.291 6.583" Properties=species:S:1:pos:R:3 pbc="T T T"
Tm 0.684 -0.610 3.212
Tm -0.564 -0.564 8.239
Tm 2.568 1.795 7.884
Tm -2.448 -2.969 3.567
Ga -0.639 -2.511 6.008
Ga 0.758 1.337 5.444
Ga -2.227 0.013 3.077
Ga 2.347 -1.187 8.375
Ga 0.894 -2.690 9.734
Ga -0.774 1.516 1.717
Cu -2.902 -1.750 6.824
Cu 3.021 0.576 4.627
Cu 1.500 -0.997 6.050
Cu -1.381 -0.177 5.401
```

Computed properties:
Density of states at the Fermi level in states/eV/atom: 0.6486
Total moment in μB per atom: 0.0000
SG: Cmcm (63)
Density in Mg/m³: 8.689

---

Short version: x is the most stable of them.

---

## w
VASP calculation (GGA-PBE) on Tm2Ga2Cu3 after structural relaxation.

Geometry as extended XYZ:
```
7
Lattice="3.323 0.000 0.000 0.000 4.083 0.000 0.000 -2.041 9.297" Properties=species:S:1:pos:R:3 pbc="T T T"
Tm 0.000 2.041 6.580
Tm 0.000 0.000 2.717
Ga 1.661 2.041 3.918
Ga 1.661 0.000 5.379
Cu 1.661 2.041 1.195
Cu 1.661 0.000 8.102
Cu 0.000 0.000 0.000
```

Computed properties:
Density of states at the Fermi level in states/eV/atom: 0.5037
Total moment in μB per atom: 0.0000
SG: Cmmm (65)
Density in Mg/m³: 8.794

---

## x
VASP calculation (GGA-PBE) on Tm2Ga2Cu3 after structural relaxation.

Geometry as extended XYZ:
```
14
Lattice="3.882 0.000 -0.925 0.000 6.911 0.000 0.170 0.000 9.315" Properties=species:S:1:pos:R:3 pbc="T T T"
Tm 0.639 1.728 2.680
Tm 3.413 5.183 5.710
Tm 3.820 1.728 7.420
Tm 0.231 5.183 0.970
Ga 2.734 6.511 2.863
Ga 1.318 0.400 5.527
Ga 1.318 3.055 5.527
Ga 2.734 3.856 2.863
Cu 0.956 5.183 4.008
Cu 3.096 1.728 4.381
Cu 2.188 2.962 0.575
Cu 1.863 3.949 7.815
Cu 1.863 6.417 7.815
Cu 2.188 0.494 0.575
```

Computed properties:
Density of states at the Fermi level in states/eV/atom: 0.5845
Total moment in μB per atom: 0.0000
SG: Cmcm (63)
Density in Mg/m³: 8.839

---

Short version: x is the most stable of them.

---

## w
VASP calculation (GGA-PBE) on TmGa2Cu3 after structural relaxation.

Geometry as extended XYZ:
```
12
Lattice="4.049 0.000 1.115 1.043 6.486 4.121 0.046 0.373 7.746" Properties=species:S:1:pos:R:3 pbc="T T T"
Tm 3.646 0.935 2.581
Tm 1.493 5.925 10.401
Ga 2.248 1.462 7.658
Ga 2.890 5.398 5.324
Ga 4.049 4.692 9.027
Ga 1.089 2.167 3.955
Cu 1.838 3.423 9.148
Cu 4.429 2.421 7.649
Cu 2.898 0.967 5.298
Cu 2.241 5.892 7.684
Cu 0.710 4.438 5.334
Cu 3.301 3.436 3.834
```

Computed properties:
Density of states at the Fermi level in states/eV/atom: 0.4668
Total moment in μB per atom: 0.0000
SG: Immm (71)
Density in Mg/m³: 8.399

---

## x
VASP calculation (GGA-PBE) on TmGa2Cu3 after structural relaxation.

Geometry as extended XYZ:
```
12
Lattice="-3.929 0.321 1.507 0.633 -1.101 -4.024 0.293 -11.895 3.300" Properties=species:S:1:pos:R:3 pbc="T T T"
Tm 0.073 -2.974 0.825
Tm 0.219 -8.921 2.475
Ga -2.289 -4.999 1.008
Ga -0.714 -7.675 -0.225
Ga -0.622 -11.421 0.814
Ga -2.381 -1.254 -0.031
Cu 0.146 -5.948 1.650
Cu 0.000 0.000 0.000
Cu -2.226 -7.547 1.715
Cu -0.852 -2.074 -1.779
Cu -2.151 -10.601 2.562
Cu -0.777 -5.128 -0.932
```

Computed properties:
Density of states at the Fermi level in states/eV/atom: 0.3741
Total moment in μB per atom: 0.0000
SG: P6_3/mmc (194)
Density in Mg/m³: 8.703

---

Short version: x is the most stable of them.